1.
Here is a relaxed SnRh2Se crystal from Alexandria via LeMat-Bulk. Energies are from PBE.

Calculated values
- SG: I-42d (122)
- Uncorrected formation energy: -0.1443 eV per atom

Cell lengths 8.564, 8.564, 8.564 Å; angles 149.99, 149.99, 42.96 degrees
Element x y z (fractional)
Sn 0.000 0.000 0.000
Sn 0.750 0.250 0.500
Rh 0.174 0.625 0.049
Rh 0.375 0.424 0.549
Rh 0.576 0.125 0.951
Rh 0.875 0.826 0.451
Se 0.250 0.750 0.500
Se 0.500 0.500 0.000


2.
Here is a relaxed Pm5Os2Au2 crystal from Alexandria via LeMat-Bulk. Energies are from PBE.

Calculated values
- SG: Cmce (64)
- E_form: -0.407 eV/atom

Cell lengths 8.763, 8.763, 7.682 Å; angles 90.00, 90.00, 52.13 degrees
Element x y z (fractional)
Pm 0.000 0.000 0.000
Pm 0.051 0.688 0.680
Pm 0.188 0.551 0.180
Pm 0.312 0.949 0.680
Pm 0.449 0.812 0.180
Pm 0.500 0.500 0.500
Pm 0.551 0.188 0.820
Pm 0.688 0.051 0.320
Pm 0.812 0.449 0.820
Pm 0.949 0.312 0.320
Os 0.115 0.885 0.387
Os 0.385 0.615 0.887
Os 0.615 0.385 0.113
Os 0.885 0.115 0.613
Au 0.213 0.213 0.000
Au 0.287 0.287 0.500
Au 0.713 0.713 0.500
Au 0.787 0.787 0.000


3.
Here is a relaxed MgGa5Co2 crystal from Alexandria via LeMat-Bulk. Energies are from PBE.

Calculated values
- SG: Immm (71)
- E_form: -0.140 eV/atom

Cell lengths 6.431, 6.431, 6.431 Å; angles 150.57, 104.75, 82.79 degrees
Element x y z (fractional)
Mg 0.000 0.000 0.000
Ga 0.140 0.354 0.786
Ga 0.432 0.646 0.786
Ga 0.500 0.000 0.500
Ga 0.568 0.354 0.214
Ga 0.860 0.646 0.214
Co 0.252 0.752 0.500
Co 0.748 0.248 0.500


4.
Here is a relaxed KTiHg3 crystal from Alexandria via LeMat-Bulk. Energies are from PBE.

Calculated values
- Polymorph energy (0 for the lowest one): 936.1 meV per atom
- SG: Pm-3m (221)
- E_form: 1.065 eV/atom

Cell lengths 5.910, 5.910, 5.910 Å; angles 90.00, 90.00, 90.00 degrees
Element x y z (fractional)
K 0.000 0.000 0.000
Ti 0.500 0.500 0.500
Hg 0.000 0.000 0.500
Hg 0.000 0.500 0.000
Hg 0.500 0.000 0.000


5.
Here is a relaxed Sm2Dy4Pb3O2 crystal from Alexandria via LeMat-Bulk. Energies are from PBE.

Calculated values
- SG: I4/mmm (139)
- Uncorrected formation energy: -1.4029 eV per atom

Cell lengths 13.245, 13.245, 13.245 Å; angles 159.65, 159.65, 28.94 degrees
Element x y z (fractional)
Sm 0.194 0.194 0.000
Sm 0.806 0.806 0.000
Dy 0.083 0.583 0.500
Dy 0.417 0.917 0.500
Dy 0.583 0.083 0.500
Dy 0.917 0.417 0.500
Pb 0.322 0.322 0.000
Pb 0.500 0.500 0.000
Pb 0.678 0.678 0.000
O 0.096 0.096 0.000
O 0.904 0.904 0.000


6.
Here is a relaxed MgZn4Ag4 crystal from Alexandria via LeMat-Bulk. Energies are from PBE.

Calculated values
- SG: I4/mmm (139)
- E_form: -0.075 eV/atom

Cell lengths 6.390, 6.390, 6.390 Å; angles 95.82, 95.82, 142.86 degrees
Element x y z (fractional)
Mg 0.000 0.000 0.000
Zn 0.000 0.343 0.343
Zn 0.000 0.657 0.657
Zn 0.343 0.000 0.343
Zn 0.657 0.000 0.657
Ag 0.332 0.332 0.663
Ag 0.332 0.668 0.000
Ag 0.668 0.332 0.000
Ag 0.668 0.668 0.337


7.
Here is a relaxed Li2CdPdO4 crystal from Alexandria via LeMat-Bulk. Energies are from PBE.

Calculated values
- SG: P2/m (10)
- Uncorrected formation energy: -1.1003 eV per atom

Cell lengths 5.411, 3.090, 5.760 Å; angles 90.00, 114.70, 90.00 degrees
Element x y z (fractional)
Li 0.000 0.000 0.000
Li 0.000 0.500 0.500
Cd 0.500 0.000 0.500
Pd 0.500 0.500 0.000
O 0.258 0.000 0.777
O 0.265 0.500 0.203
O 0.735 0.500 0.797
O 0.742 0.000 0.223


8.
Here is a relaxed Rb3In2Te3 crystal from Alexandria via LeMat-Bulk. Energies are from PBE.

Calculated values
- SG: C2/m (12)
- Uncorrected formation energy: -0.6691 eV per atom

Cell lengths 13.428, 13.428, 5.704 Å; angles 93.17, 93.17, 18.65 degrees
Element x y z (fractional)
Rb 0.000 0.000 0.000
Rb 0.113 0.113 0.536
Rb 0.887 0.887 0.464
In 0.241 0.241 0.292
In 0.759 0.759 0.708
Te 0.326 0.326 0.970
Te 0.500 0.500 0.500
Te 0.674 0.674 0.030


9.
Here is a relaxed HfZr3 crystal from Alexandria via LeMat-Bulk. Energies are from PBE.

Calculated values
- Polymorph energy (0 for the lowest one): 54.7 meV per atom
- SG: I4/mmm (139)
- E_form: 0.053 eV/atom

Cell lengths 5.563, 5.563, 5.563 Å; angles 132.36, 132.36, 69.66 degrees
Element x y z (fractional)
Hf 0.000 0.000 0.000
Zr 0.250 0.750 0.500
Zr 0.500 0.500 0.000
Zr 0.750 0.250 0.500


10.
Here is a relaxed YV2Sb2 crystal from Alexandria via LeMat-Bulk. Energies are from PBE.

Calculated values
- Polymorph energy (0 for the lowest one): 203.6 meV per atom
- SG: P4/mbm (127)
- Uncorrected formation energy: -0.0829 eV per atom

Cell lengths 7.802, 7.802, 3.349 Å; angles 90.00, 90.00, 90.00 degrees
Element x y z (fractional)
Y 0.000 0.000 0.000
Y 0.500 0.500 0.000
V 0.107 0.393 0.000
V 0.393 0.893 0.000
V 0.607 0.107 0.000
V 0.893 0.607 0.000
Sb 0.175 0.675 0.500
Sb 0.325 0.175 0.500
Sb 0.675 0.825 0.500
Sb 0.825 0.325 0.500


11.
Here is a relaxed SbPt2S crystal from Alexandria via LeMat-Bulk. Energies are from PBE.

Calculated values
- Polymorph energy (0 for the lowest one): 316.8 meV per atom
- SG: Fm-3m (225)
- Uncorrected formation energy: 0.1021 eV per atom

Cell lengths 4.639, 4.639, 4.639 Å; angles 60.00, 60.00, 60.00 degrees
Element x y z (fractional)
Sb 0.000 0.000 0.000
Pt 0.250 0.250 0.250
Pt 0.750 0.750 0.750
S 0.500 0.500 0.500


12.
Here is a relaxed La2TbNd5Y crystal from Alexandria via LeMat-Bulk. Energies are from PBE.

Calculated values
- SG: Cmc2_1 (36)
- E_form: 0.126 eV/atom

Cell lengths 10.664, 10.664, 10.842 Å; angles 90.00, 90.00, 148.65 degrees
Element x y z (fractional)
La 0.114 0.886 0.500
La 0.117 0.883 0.082
La 0.883 0.117 0.582
La 0.886 0.114 0.000
Tb 0.201 0.799 0.776
Tb 0.799 0.201 0.276
Nd 0.015 0.985 0.786
Nd 0.278 0.722 0.077
Nd 0.295 0.705 0.470
Nd 0.386 0.614 0.789
Nd 0.482 0.518 0.510
Nd 0.518 0.482 0.010
Nd 0.614 0.386 0.289
Nd 0.705 0.295 0.970
Nd 0.722 0.278 0.577
Nd 0.985 0.015 0.286
Y 0.407 0.593 0.229
Y 0.593 0.407 0.729


no.,calculated density (g cm⁻³),E_tot (eV/f.u.)
1,8.55,-22.8
2,10.69,-56.4
3,6.58,-32.1
4,5.54,-4.6
5,9.48,-64.3
6,7.98,-18.8
7,5.63,-38.6
8,4.39,-23.2
9,8.15,-35.4
10,7.08,-33.4
11,12.79,-19.9
12,6.46,-43.7